(1)
# FeGeMoIr2

A relaxed structure of FeGeMoIr2 (GGA-PBE, Alexandria via LeMat-Bulk).

Cell and atoms, written as POSCAR:
```
FeGeMoIr2
1.0
4.495 0.000 0.000
0.000 4.495 0.000
0.000 0.000 4.621
Fe Ge Mo Ir
1 1 1 2
Cartesian
0.000 0.000 0.000 Fe
2.248 2.248 2.311 Ge
2.248 2.248 0.000 Mo
0.000 2.248 2.311 Ir
2.248 0.000 2.311 Ir
```

Calculated values
density of states at the Fermi level = 5.419 states/eV/cell
raw total energy = -34.98 eV/cell
energy of formation from the pure elements = 6.65 eV/f.u.
SG = P4/mmm, No. 123
calculated volume = 93.4 Å³ per cell

***

(2)
# FeGeMoIr

A relaxed structure of FeGeMoIr (GGA-PBE, Alexandria via LeMat-Bulk).

Cell and atoms, written as POSCAR:
```
FeGeMoIr
1.0
0.000 3.040 3.040
3.040 0.000 3.040
3.040 3.040 0.000
Fe Ge Mo Ir
1 1 1 1
Cartesian
0.000 0.000 0.000 Fe
3.040 3.040 3.040 Ge
4.560 4.560 4.560 Mo
1.520 1.520 1.520 Ir
```

Calculated values
density of states at the Fermi level = 3.889 states/eV/cell
raw total energy = -32.95 eV/cell
energy of formation from the pure elements = -0.18 eV/f.u.
SG = F-43m, No. 216
calculated volume = 56.2 Å³ per cell

***

(3)
# FeGeIr2N

A relaxed structure of FeGeIr2N (GGA-PBE, Alexandria via LeMat-Bulk).

Cell and atoms, written as POSCAR:
```
FeGeIr2N
1.0
4.786 0.000 0.000
0.000 4.786 0.000
0.000 0.000 3.300
Fe Ge Ir N
1 1 2 1
Cartesian
0.000 0.000 0.000 Fe
2.393 2.393 1.650 Ge
0.000 2.393 0.000 Ir
2.393 0.000 0.000 Ir
0.000 0.000 1.650 N
```

Calculated values
density of states at the Fermi level = 5.630 states/eV/cell
energy relative to the elements, uncorrected = 0.995 eV/atom
raw total energy = -34.15 eV/cell
SG = P4/mmm, No. 123
calculated volume = 75.6 Å³ per cell

***

(4)
# Nd2FeGe3Ir4

A relaxed structure of Nd2FeGe3Ir4 (GGA-PBE, Alexandria via LeMat-Bulk).

Cell and atoms, written as POSCAR:
```
Nd2FeGe3Ir4
1.0
4.214 0.000 0.000
0.000 4.214 0.000
0.000 0.000 10.342
Nd Fe Ge Ir
2 1 3 4
Cartesian
0.000 2.107 2.542 Nd
2.107 0.000 7.800 Nd
2.107 2.107 0.000 Fe
0.000 0.000 0.000 Ge
0.000 2.107 6.526 Ge
2.107 0.000 3.816 Ge
0.000 0.000 5.171 Ir
0.000 2.107 8.989 Ir
2.107 0.000 1.352 Ir
2.107 2.107 5.171 Ir
```

Calculated values
density of states at the Fermi level = 5.755 states/eV/cell
raw total energy = -74.06 eV/cell
energy of formation from the pure elements = -6.76 eV/f.u.
SG = P-4m2, No. 115
calculated volume = 183.7 Å³ per cell

***

(5)
# Nd2FeGe4Ir3

A relaxed structure of Nd2FeGe4Ir3 (GGA-PBE, Alexandria via LeMat-Bulk).

Cell and atoms, written as POSCAR:
```
Nd2FeGe4Ir3
1.0
4.279 0.000 0.000
0.000 4.279 0.000
0.000 0.000 10.013
Nd Fe Ge Ir
2 1 4 3
Cartesian
0.000 2.140 2.492 Nd
2.140 0.000 7.520 Nd
2.140 2.140 0.000 Fe
0.000 0.000 5.006 Ge
0.000 2.140 8.780 Ge
2.140 0.000 1.233 Ge
2.140 2.140 5.006 Ge
0.000 0.000 0.000 Ir
0.000 2.140 6.295 Ir
2.140 0.000 3.718 Ir
```

Calculated values
density of states at the Fermi level = 6.105 states/eV/cell
raw total energy = -69.66 eV/cell
energy of formation from the pure elements = -6.61 eV/f.u.
SG = P-4m2, No. 115
calculated volume = 183.4 Å³ per cell

***

(6)
# FeNiGeIr

A relaxed structure of FeNiGeIr (GGA-PBE, Alexandria via LeMat-Bulk).

Cell and atoms, written as POSCAR:
```
FeNiGeIr
1.0
0.000 2.973 2.973
2.973 0.000 2.973
2.973 2.973 0.000
Fe Ni Ge Ir
1 1 1 1
Cartesian
0.000 0.000 0.000 Fe
4.460 4.460 4.460 Ni
2.973 2.973 2.973 Ge
1.487 1.487 1.487 Ir
```

Calculated values
density of states at the Fermi level = 4.061 states/eV/cell
raw total energy = -28.05 eV/cell
energy of formation from the pure elements = -0.32 eV/f.u.
SG = F-43m, No. 216
calculated volume = 52.6 Å³ per cell